Record 1
A geometry-optimized La8AlZn2 structure, computed with GGA-PBE.

Cell: 5.4703 8.8322 8.8102 Å, 119.33 108.09 90.00°
With the nearest neighbours (Å) after each atom.
Positions (direct):
La 0.5985 0.4447 0.1971  3 Zn 3.24-3.32, 1 Al 3.39
La 0.3184 0.0349 0.6368  1 Zn 3.20, 1 Al 3.21, 5 La 3.37-3.58
La 0.1382 0.1989 0.2765  3 Zn 3.18-3.39, 2 Al 3.43
La 0.0730 0.7239 0.1460  1 Zn 3.17, 3 La 3.37-3.41
La 0.8618 0.8011 0.7235  3 Zn 3.18-3.39, 2 Al 3.43
La 0.6816 0.9651 0.3632  1 Zn 3.20, 1 Al 3.21, 5 La 3.37-3.58
La 0.4015 0.5553 0.8029  3 Zn 3.24-3.32, 1 Al 3.39
La 0.9270 0.2761 0.8540  1 Zn 3.17, 3 La 3.37-3.41
Al 0.5000 0.0000 0.0000  8 La 3.21-3.43
Zn 0.2264 0.6154 0.4527  8 La 3.17-3.39
Zn 0.7736 0.3846 0.5473  8 La 3.17-3.39

Computed properties:
Its space group is C2/m. The calculation puts the magnetization at 0.0 μB per formula unit. The value obtained for the energy of formation from the pure elements is -15 kJ/mol of atoms. For the relative energy among the computed polymorphs, the calculation gives 0.005 eV per atom. Its calculated total energy is -0.317 Ry per atom.

Record 2
A geometry-optimized LaAl3Zn structure, computed with GGA-PBE.

Cell: 4.3316 4.3317 6.2796 Å, 69.86 69.86 89.95°
With the nearest neighbours (Å) after each atom.
Positions (direct):
La 0.4023 0.2058 0.9012  12 Al 3.30-3.53, 4 Zn 3.31-3.32
Al 0.6475 0.9532 0.4082  2 Zn 2.59-2.60, 2 Al 2.67
Al 0.1496 0.4509 0.4082  2 Zn 2.60, 2 Al 2.67
Al 0.7906 0.5942 0.1243  1 Zn 2.50, 4 Al 2.67
Zn 0.0178 0.8211 0.6692  5 Al 2.50-2.60

Computed properties:
Its space group is Cm. The calculation puts the magnetization at 0.0 μB per formula unit. The value obtained for the energy of formation from the pure elements is -42 kJ/mol of atoms. Its calculated total energy is -0.288 Ry per atom.

Record 3
A geometry-optimized LaAlZn3 structure, computed with GGA-PBE.

Cell: 5.6010 6.4824 6.4834 Å, 120.00 90.00 90.00°
With the nearest neighbours (Å) after each atom.
Positions (direct):
La 0.7500 0.6668 0.3334  12 Zn 3.18-3.26
La 0.2500 0.3332 0.6666  12 Zn 3.18-3.26
Al 0.0000 0.0000 0.0000  6 Zn 2.63, 2 Al 2.80
Al 0.5000 0.0000 0.0000  6 Zn 2.63, 2 Al 2.80
Zn 0.7500 0.6035 0.8018  2 Zn 2.63, 2 Al 2.63
Zn 0.2500 0.8017 0.6035  2 Zn 2.63, 2 Al 2.63
Zn 0.2500 0.3965 0.1982  2 Zn 2.63, 2 Al 2.63
Zn 0.7500 0.1983 0.3965  2 Zn 2.63, 2 Al 2.63
Zn 0.2499 0.8017 0.1982  2 Zn 2.63, 2 Al 2.63
Zn 0.7501 0.1983 0.8018  2 Zn 2.63, 2 Al 2.63

Computed properties:
Its space group is P6_3/mmc. The calculation puts the magnetization at 0.0 μB per formula unit. The value obtained for the energy of formation from the pure elements is -24 kJ/mol of atoms. For the relative energy among the computed polymorphs, the calculation gives 0.123 eV per atom. Its calculated total energy is -0.202 Ry per atom.

Record 4
A geometry-optimized La12Al3Zn structure, computed with GGA-PBE.

Cell: 4.9847 4.9847 19.7938 Å, 90.00 90.00 90.00°
With the nearest neighbours (Å) after each atom.
Positions (direct):
La 0.5000 0.5000 0.0000  8 La 3.52, 4 Zn 3.52
La 0.5000 0.5000 0.2492  8 La 3.50-3.52, 4 Al 3.52
La 0.5000 0.5000 0.5000  8 La 3.52, 4 Al 3.52
La 0.5000 0.5000 0.7508  8 La 3.50-3.52, 4 Al 3.52
La 0.5000 0.0000 0.1252  2 Al 3.48, 8 La 3.50-3.52, 2 Zn 3.52
La 0.5000 0.0000 0.3746  8 La 3.52, 4 Al 3.52-3.53
La 0.5000 0.0000 0.6254  8 La 3.52, 4 Al 3.52-3.53
La 0.5000 0.0000 0.8748  2 Al 3.48, 8 La 3.50-3.52, 2 Zn 3.52
La 0.0000 0.5000 0.1252  2 Al 3.48, 8 La 3.50-3.52, 2 Zn 3.52
La 0.0000 0.5000 0.3746  8 La 3.52, 4 Al 3.52-3.53
La 0.0000 0.5000 0.6254  8 La 3.52, 4 Al 3.52-3.53
La 0.0000 0.5000 0.8748  2 Al 3.48, 8 La 3.50-3.52, 2 Zn 3.52
Al 0.0000 0.0000 0.2479  12 La 3.48-3.53
Al 0.0000 0.0000 0.5000  12 La 3.52
Al 0.0000 0.0000 0.7521  12 La 3.48-3.53
Zn 0.0000 0.0000 0.0000  12 La 3.52

Computed properties:
Its space group is P4/mmm. The calculation puts the magnetization at 0.0 μB per formula unit. The value obtained for the energy of formation from the pure elements is -15 kJ/mol of atoms. Its calculated total energy is -0.341 Ry per atom.

Record 5
A geometry-optimized LaAl6Zn12 structure, computed with GGA-PBE.

Cell: 7.1964 7.1964 7.1964 Å, 102.49 102.49 102.49°
With the nearest neighbours (Å) after each atom.
Positions (direct):
La 0.0000 0.0000 0.0000  6 Zn 3.18
Al 0.7120 0.3008 0.3008  6 Zn 2.56-2.85
Al 0.3008 0.3008 0.7120  6 Zn 2.56-2.85
Al 0.3008 0.7120 0.3008  6 Zn 2.56-2.85
Al 0.6992 0.6992 0.2880  6 Zn 2.56-2.85
Al 0.2880 0.6992 0.6992  6 Zn 2.56-2.85
Al 0.6992 0.2880 0.6992  6 Zn 2.56-2.85
Zn 0.8932 0.1068 0.5000  1 Zn 2.40, 2 Al 2.56
Zn 0.8703 0.6253 0.6253  4 Al 2.69-2.85, 4 Zn 2.72-2.75
Zn 0.6253 0.6253 0.8703  4 Al 2.69-2.85, 4 Zn 2.72-2.75
Zn 0.3747 0.1297 0.3747  4 Al 2.69-2.85, 4 Zn 2.72-2.75
Zn 0.3747 0.3747 0.1297  4 Al 2.69-2.85, 4 Zn 2.72-2.75
Zn 0.1297 0.3747 0.3747  4 Al 2.69-2.85, 4 Zn 2.72-2.75
Zn 0.1068 0.5000 0.8932  1 Zn 2.40, 2 Al 2.56
Zn 0.5000 0.8932 0.1068  1 Zn 2.40, 2 Al 2.56
Zn 0.1068 0.8932 0.5000  1 Zn 2.40, 2 Al 2.56
Zn 0.8932 0.5000 0.1068  1 Zn 2.40, 2 Al 2.56
Zn 0.5000 0.1068 0.8932  1 Zn 2.40, 2 Al 2.56
Zn 0.6253 0.8703 0.6253  4 Al 2.69-2.85, 4 Zn 2.72-2.75

Computed properties:
Its space group is R-3m. The calculation puts the magnetization at 0.0 μB per formula unit. The value obtained for the energy of formation from the pure elements is 1 kJ/mol of atoms. Its calculated total energy is -0.164 Ry per atom.

Record 6
A geometry-optimized La3Al3Zn structure, computed with GGA-PBE.

Cell: 4.6915 6.0816 14.3544 Å, 88.20 80.59 67.31°
With the nearest neighbours (Å) after each atom.
Positions (direct):
La 0.5360 0.3099 0.6182  7 Al 3.22-3.55, 4 Zn 3.27-3.35
La 0.4640 0.6901 0.3818  7 Al 3.22-3.55, 4 Zn 3.27-3.35
La 0.2508 0.2686 0.2298  6 Al 3.24-3.30, 2 Zn 3.49
La 0.7492 0.7314 0.7702  6 Al 3.24-3.30, 2 Zn 3.49
La 0.3914 0.2881 0.9291  7 Al 3.29-3.35
La 0.6086 0.7119 0.0709  7 Al 3.29-3.35
Al 0.8650 0.7326 0.5374  3 Zn 2.69-2.90, 1 Al 2.78
Al 0.1350 0.2674 0.4626  3 Zn 2.69-2.90, 1 Al 2.78
Al 0.1038 0.8731 0.9193  2 Al 2.65-2.67
Al 0.8962 0.1269 0.0807  2 Al 2.65-2.67
Al 0.9559 0.8564 0.2318  1 Zn 2.65, 1 Al 2.67
Al 0.0441 0.1436 0.7682  1 Zn 2.65, 1 Al 2.67
Zn 0.7541 0.0956 0.3962  4 Al 2.65-2.90
Zn 0.2459 0.9044 0.6038  4 Al 2.65-2.90

Computed properties:
Its space group is C2/m. The calculation puts the magnetization at 0.0 μB per formula unit. The value obtained for the energy of formation from the pure elements is -37 kJ/mol of atoms. Its calculated total energy is -0.315 Ry per atom.

Record 7
A geometry-optimized LaAlZn2 structure, computed with GGA-PBE.

Cell: 3.8081 5.3333 5.3333 Å, 119.78 90.00 90.00°
With the nearest neighbours (Å) after each atom.
Positions (direct):
La 0.0000 0.0537 0.9463  8 Zn 3.28, 4 Al 3.28
Al 0.5000 0.5539 0.4461  4 Zn 2.67
Zn 0.5000 0.0539 0.4463  2 Al 2.67, 2 Zn 2.67-2.68
Zn 0.5000 0.5537 0.9461  2 Al 2.67, 2 Zn 2.67-2.68

Computed properties:
Its space group is Cmmm. The calculation puts the magnetization at 0.0 μB per formula unit. The value obtained for the energy of formation from the pure elements is -15 kJ/mol of atoms. Its calculated total energy is -0.218 Ry per atom.

Record 8
A geometry-optimized LaAlZn structure, computed with GGA-PBE.

Cell: 4.1913 6.7820 6.1297 Å, 117.83 89.98 108.00°
With the nearest neighbours (Å) after each atom.
Positions (direct):
Zn 0.7646 0.4479 0.2340  3 Al 2.75-2.80, 2 Zn 2.93-2.94
Zn 0.1420 0.2022 0.3554  3 Al 2.52-2.76
Al 0.7550 0.4286 0.6798  3 Zn 2.76-2.80, 2 Al 2.82
Al 0.3656 0.6499 0.5623  3 Zn 2.52-2.75, 2 Al 2.82
La 0.4407 0.7996 0.1414  4 Zn 3.08-3.34, 4 Al 3.17-3.39
La 0.0773 0.0734 0.7876  4 Zn 3.14-3.35, 4 Al 3.17-3.40

Computed properties:
Its space group is Cm. The calculation puts the magnetization at 0.0 μB per formula unit. The value obtained for the energy of formation from the pure elements is -30 kJ/mol of atoms. Its calculated total energy is -0.267 Ry per atom.

Record 9
A geometry-optimized LaAl5Zn2 structure, computed with GGA-PBE.

Cell: 4.1702 6.5297 6.5297 Å, 68.64 71.38 71.38°
With the nearest neighbours (Å) after each atom.
Positions (direct):
La 0.0000 0.0000 0.0000  4 Zn 3.21, 8 Al 3.42
Al 0.0000 0.5000 0.5000  2 Zn 2.53
Al 0.6414 0.5436 0.1737  3 Zn 2.54-2.73, 2 Al 2.72-2.81
Al 0.3586 0.4564 0.8263  3 Zn 2.54-2.73, 2 Al 2.72-2.81
Al 0.3586 0.8263 0.4564  3 Zn 2.54-2.73, 2 Al 2.72-2.81
Al 0.6414 0.1737 0.5436  3 Zn 2.54-2.73, 2 Al 2.72-2.81
Zn 0.7458 0.7542 0.7542  7 Al 2.53-2.73
Zn 0.2542 0.2458 0.2458  7 Al 2.53-2.73

Computed properties:
Its space group is Immm. The calculation puts the magnetization at 0.0 μB per formula unit. The value obtained for the energy of formation from the pure elements is -20 kJ/mol of atoms. Its calculated total energy is -0.256 Ry per atom.

Record 10
A geometry-optimized LaAlZn2 structure, computed with GGA-PBE.

Cell: 4.3277 4.3277 5.9891 Å, 68.81 68.81 59.96°
With the nearest neighbours (Å) after each atom.
Positions (direct):
Zn 0.9576 0.9576 0.1274  3 Zn 2.58, 3 Al 2.84
Zn 0.2524 0.2524 0.2429  3 Zn 2.58, 3 Al 2.60
Al 0.5412 0.5412 0.3765  6 Zn 2.60-2.84
La 0.7488 0.7488 0.7532  4 Zn 3.22-3.41, 4 Al 3.23-3.39

Computed properties:
Its space group is R3m. The calculation puts the magnetization at 0.0 μB per formula unit. The value obtained for the energy of formation from the pure elements is -29 kJ/mol of atoms. Its calculated total energy is -0.228 Ry per atom.

Record 11
A geometry-optimized LaAl12Zn4 structure, computed with GGA-PBE.

Cell: 7.6414 7.6414 7.6414 Å, 109.47 109.47 109.47°
With the nearest neighbours (Å) after each atom.
Positions (direct):
La 0.0000 0.0000 0.0000  12 Al 3.39
Al 0.8436 0.3512 0.1948  2 Zn 2.52, 2 Al 2.63-2.76
Al 0.3512 0.5076 0.1564  2 Zn 2.52, 2 Al 2.63-2.76
Al 0.8052 0.1564 0.6488  2 Zn 2.52, 2 Al 2.63-2.76
Al 0.3512 0.1948 0.8436  2 Zn 2.52, 2 Al 2.63-2.76
Al 0.1948 0.8436 0.3512  2 Zn 2.52, 2 Al 2.63-2.76
Al 0.6488 0.4924 0.8436  2 Zn 2.52, 2 Al 2.63-2.76
Al 0.5076 0.1564 0.3512  2 Zn 2.52, 2 Al 2.63-2.76
Al 0.4924 0.8436 0.6488  2 Zn 2.52, 2 Al 2.63-2.76
Al 0.6488 0.8052 0.1564  2 Zn 2.52, 2 Al 2.63-2.76
Al 0.8436 0.6488 0.4924  2 Zn 2.52, 2 Al 2.63-2.76
Al 0.1564 0.3512 0.5076  2 Zn 2.52, 2 Al 2.63-2.76
Al 0.1564 0.6488 0.8052  2 Zn 2.52, 2 Al 2.63-2.76
Zn 0.0000 0.5000 0.0000  6 Al 2.52
Zn 0.5000 0.0000 0.0000  6 Al 2.52
Zn 0.5000 0.5000 0.5000  6 Al 2.52
Zn 0.0000 0.0000 0.5000  6 Al 2.52

Computed properties:
Its space group is Im-3. The calculation puts the magnetization at 0.0 μB per formula unit. The value obtained for the energy of formation from the pure elements is 14 kJ/mol of atoms. Its calculated total energy is -0.227 Ry per atom.

Record 12
A geometry-optimized LaAlZn structure, computed with GGA-PBE.

Cell: 4.2909 5.7032 6.0503 Å, 90.67 69.25 89.96°
With the nearest neighbours (Å) after each atom.
Positions (direct):
Zn 0.8004 0.0580 0.9543  4 Al 2.69-2.86, 2 Zn 2.71
Zn 0.2148 0.2945 0.1250  2 Zn 2.71, 2 Al 2.78
Al 0.7963 0.5573 0.9624  2 Al 2.77-2.78, 4 Zn 2.78-2.86
Al 0.3777 0.8179 0.7996  2 Zn 2.69, 2 Al 2.77-2.78
La 0.0956 0.7990 0.3627  4 Zn 3.15-3.50, 5 Al 3.19-3.40
La 0.4997 0.3145 0.5566  4 Al 3.16-3.42, 5 Zn 3.22-3.45

Computed properties:
Its space group is Cm. The calculation puts the magnetization at 0.0 μB per formula unit. The value obtained for the energy of formation from the pure elements is -34 kJ/mol of atoms. Its calculated total energy is -0.270 Ry per atom.